Material: LiTa2CrPb
Method: DFT, PBEsol
State: optimized geometry

Unit cell a=4.451 b=4.451 c=4.216 alpha=90.00 beta=90.00 gamma=90.00
Sites, in units of the cell vectors:
Li: 0.000 0.000 0.000
Ta: 0.000 0.500 0.000
Ta: 0.500 0.000 0.000
Cr: 0.000 0.000 0.500
Pb: 0.500 0.500 0.500

Output
- Density of states at the Fermi level: 3.8 states/eV per cell
- ρ: 12.5 Mg/m³
- Space-group type: No. 123
- DFT formation energy: 1160.4 meV/atom

---

Material: LiCrSbPd2
Method: DFT, PBEsol
State: optimized geometry

Unit cell a=4.949 b=4.949 c=5.020 alpha=90.00 beta=90.00 gamma=90.00
Sites, in units of the cell vectors:
Li: 0.000 0.000 0.000
Cr: 0.500 0.500 0.000
Sb: 0.500 0.500 0.500
Pd: 0.000 0.500 0.500
Pd: 0.500 0.000 0.500

Output
- Density of states at the Fermi level: 2.1 states/eV per cell
- ρ: 5.3 Mg/m³
- Space-group type: No. 123
- Formation energy from raw total energies: 560 meV/atom